[1]
Computed, not measured: YHoBeHg after structural relaxation at the PBE level of DFT.

## Properties
The value obtained for the calculated density is 8.3 g/cm3. The value obtained for the calculated total energy is -3.90 eV/atom. The formation energy is -53 kJ/mol of formula units.

Cell lengths 7.1955, 7.1955, 7.1955 Å; angles 90.00, 90.00, 90.00 degrees
Closest atoms and distances in Å follow each position.
Space group F-43m (No. 216)
One atom of each set of equivalent atoms:
Y 0.0000 0.0000 0.0000 x4  4 Hg 3.12, 4 Be 3.12
Ho 0.0000 0.0000 0.5000 x4  4 Hg 3.12, 4 Be 3.12
Be 0.2500 0.2500 0.2500 x4  4 Ho 3.12, 4 Y 3.12
Hg 0.2500 0.2500 0.7500 x4  4 Ho 3.12, 4 Y 3.12

***

[2]
Computed, not measured: BiIF3 after structural relaxation at the PBE level of DFT.

## Properties
The value obtained for the calculated density is 4.8 g/cm3. The distance to the lowest polymorph of the same formula is 0 meV/atom. The value obtained for the calculated total energy is -4.11 eV/atom. The formation energy (no corrections) is -1.9005 eV/atom.

Cell lengths 5.6503, 5.9625, 8.3441 Å; angles 100.92, 94.72, 100.33 degrees
Closest atoms and distances in Å follow each position.
Space group P1 (No. 1)
One atom of each set of equivalent atoms:
Bi 0.0000 0.0000 0.0000 x1  4 F 2.18-2.26
Bi 0.4868 0.4754 0.9120 x1  4 F 2.18-2.26
I 0.4889 0.1810 0.4774 x1  2 I 2.90-2.99
I 0.9972 0.2984 0.4349 x1  2 I 2.90-2.99
F 0.1650 0.1299 0.8002 x1  1 Bi 2.18
F 0.2440 0.7383 0.9557 x1  2 Bi 2.26
F 0.3208 0.3462 0.1117 x1  1 Bi 2.18
F 0.7254 0.7206 0.1130 x1  1 Bi 2.18
F 0.7428 0.2371 0.9559 x1  2 Bi 2.26
F 0.7621 0.7542 0.7990 x1  1 Bi 2.18

***

Q: Among the records above, which one has the lowest calculated total energy?
A: BiIF3